# Dy3Cu2Pt5 | Alexandria | PBE-GGA | relaxed
data_Dy3Cu2Pt5
_space_group_name_H-M_alt 'P 1'
_space_group_IT_number 1
_cell_length_a 9.568
_cell_length_b 9.568
_cell_length_c 3.980
_cell_angle_alpha 90.00
_cell_angle_beta 90.00
_cell_angle_gamma 90.00
loop_
_space_group_symop_operation_xyz
'x,y,z'
loop_
_atom_site_label
_atom_site_fract_x
_atom_site_fract_y
_atom_site_fract_z
_atom_site_occupancy
Dy1 0.000 0.000 0.000 1
Dy2 0.175 0.325 0.000 1
Dy3 0.325 0.825 0.000 1
Dy4 0.500 0.500 0.000 1
Dy5 0.675 0.175 0.000 1
Dy6 0.825 0.675 0.000 1
Cu1 0.119 0.619 0.000 1
Cu2 0.381 0.119 0.000 1
Cu3 0.619 0.881 0.000 1
Cu4 0.881 0.381 0.000 1
Pt1 0.000 0.500 0.500 1
Pt2 0.073 0.787 0.500 1
Pt3 0.213 0.073 0.500 1
Pt4 0.287 0.573 0.500 1
Pt5 0.427 0.287 0.500 1
Pt6 0.500 0.000 0.500 1
Pt7 0.573 0.713 0.500 1
Pt8 0.713 0.427 0.500 1
Pt9 0.787 0.927 0.500 1
Pt10 0.927 0.213 0.500 1
# DFT formation energy (meV/atom): -928
# Calculated density (g cm⁻³): 14.49

=====

# PmY4Tm2 | Alexandria | PBE-GGA | relaxed
data_PmY4Tm2
_space_group_name_H-M_alt 'P 1'
_space_group_IT_number 1
_cell_length_a 8.510
_cell_length_b 8.510
_cell_length_c 8.736
_cell_angle_alpha 118.56
_cell_angle_beta 118.56
_cell_angle_gamma 24.02
loop_
_space_group_symop_operation_xyz
'x,y,z'
loop_
_atom_site_label
_atom_site_fract_x
_atom_site_fract_y
_atom_site_fract_z
_atom_site_occupancy
Pm1 0.000 0.000 0.000 1
Y1 0.295 0.295 0.706 1
Y2 0.361 0.361 0.170 1
Y3 0.639 0.639 0.830 1
Y4 0.705 0.705 0.294 1
Tm1 0.070 0.070 0.430 1
Tm2 0.930 0.930 0.570 1
# DFT formation energy (meV/atom): 28
# Calculated density (g cm⁻³): 6.20

=====

# Fe3Co2 | Alexandria | PBE-GGA | relaxed
data_Fe3Co2
_space_group_name_H-M_alt 'P 1'
_space_group_IT_number 1
_cell_length_a 10.253
_cell_length_b 10.155
_cell_length_c 2.457
_cell_angle_alpha 85.35
_cell_angle_beta 80.83
_cell_angle_gamma 13.82
loop_
_space_group_symop_operation_xyz
'x,y,z'
loop_
_atom_site_label
_atom_site_fract_x
_atom_site_fract_y
_atom_site_fract_z
_atom_site_occupancy
Fe1 0.000 0.000 0.000 1
Fe2 0.399 0.399 0.601 1
Fe3 0.601 0.601 0.399 1
Co1 0.200 0.200 0.800 1
Co2 0.800 0.800 0.200 1
# DFT formation energy (meV/atom): 11
# Calculated density (g cm⁻³): 8.27

=====

# Sm2YHo3S6 | Alexandria | PBE-GGA | relaxed
data_Sm2YHo3S6
_space_group_name_H-M_alt 'P 1'
_space_group_IT_number 1
_cell_length_a 8.792
_cell_length_b 8.792
_cell_length_c 7.910
_cell_angle_alpha 103.38
_cell_angle_beta 103.38
_cell_angle_gamma 25.73
loop_
_space_group_symop_operation_xyz
'x,y,z'
loop_
_atom_site_label
_atom_site_fract_x
_atom_site_fract_y
_atom_site_fract_z
_atom_site_occupancy
Sm1 0.167 0.167 0.335 1
Sm2 0.833 0.833 0.665 1
Y1 0.500 0.500 0.000 1
Ho1 0.168 0.168 0.833 1
Ho2 0.500 0.500 0.500 1
Ho3 0.832 0.832 0.167 1
S1 0.003 0.003 0.749 1
S2 0.333 0.333 0.925 1
S3 0.336 0.336 0.410 1
S4 0.664 0.664 0.590 1
S5 0.667 0.667 0.075 1
S6 0.997 0.997 0.251 1
# Formation energy (no corrections) (eV/atom): -2.00
# Calculated density (g cm⁻³): 6.93

=====

Q: Number 2 is which compound?
A: PmY4Tm2